Record 1
A plane-wave DFT calculation with PBE was carried out for a geometry-optimized BaBe3 structure.

D(E_F) in states/eV per cell: 1.90
DFT formation energy in eV/atom: 0.711
Magnetization in μB per formula unit: 0.000
SG: P4/mmm

```
BaBe3
1.0
3.019 0.001 0.000
-0.004 3.019 0.000
0.000 0.000 7.344
Be Ba
3 1
direct
0.500 0.500 0.647
0.000 0.000 0.500
0.500 0.500 0.353
0.000 0.000 0.000
```

Record 2
A plane-wave DFT calculation with PBE was carried out for a geometry-optimized BaBe2 structure.

D(E_F) in states/eV per cell: 3.89
DFT formation energy in eV/atom: 0.332
Magnetization in μB per formula unit: 0.000
SG: C2/m

```
BaBe2
1.0
-4.751 -3.740 -2.636
-1.967 -3.415 -5.290
1.602 -5.663 0.986
Ba Be
2 4
direct
0.404 0.404 0.315
0.596 0.596 0.685
0.287 0.287 0.911
0.861 0.861 0.822
0.139 0.139 0.178
0.713 0.713 0.089
```

Record 3
A plane-wave DFT calculation with PBE was carried out for a geometry-optimized BaBe structure.

D(E_F) in states/eV per cell: 10.26
DFT formation energy in eV/atom: 0.368
Magnetization in μB per formula unit: 0.000
SG: Amm2

```
BaBe
1.0
4.117 0.000 0.000
0.000 10.850 0.000
0.000 0.000 8.514
Ba Be
6 6
direct
0.000 0.302 0.749
0.000 0.698 0.749
0.000 0.802 0.249
0.000 0.198 0.249
0.500 0.000 0.887
0.500 0.500 0.387
0.500 0.907 0.530
0.500 0.093 0.530
0.500 0.407 0.030
0.500 0.593 0.030
0.000 0.000 0.557
0.000 0.500 0.057
```

Record 4
A plane-wave DFT calculation with PBE was carried out for a geometry-optimized BaBe3 structure.

D(E_F) in states/eV per cell: 3.94
DFT formation energy in eV/atom: 1.308
Magnetization in μB per formula unit: 0.001
SG: Pm-3m

```
BaBe3
1.0
-0.506 3.338 2.872
0.336 -2.853 3.375
4.390 0.603 0.072
Be Ba
3 1
direct
0.000 0.500 0.500
0.500 0.000 0.500
0.500 0.500 0.000
0.000 0.000 0.000
```

Record 5
A plane-wave DFT calculation with PBE was carried out for a geometry-optimized Ba3Be structure.

D(E_F) in states/eV per cell: 3.19
DFT formation energy in eV/atom: 0.533
Magnetization in μB per formula unit: 0.000
SG: I4/mmm

```
Ba3Be
1.0
5.951 -1.039 0.000
1.058 5.948 0.000
-3.504 -2.454 4.265
Be Ba
1 3
direct
0.000 0.000 0.000
0.250 0.750 0.500
0.500 0.500 0.000
0.750 0.250 0.500
```

Record 6
A plane-wave DFT calculation with PBE was carried out for a geometry-optimized BaBeBi2 structure.

D(E_F) in states/eV per cell: 1.01
DFT formation energy in eV/atom: -0.118
Magnetization in μB per formula unit: 0.000
SG: I-42d

```
BaBeBi2
1.0
-5.408 2.372 1.783
-2.439 -1.441 -5.480
-6.093 -6.604 0.975
Be Bi Ba
2 4 2
direct
0.500 0.500 0.000
0.250 0.750 0.500
0.448 0.125 0.250
0.302 0.625 0.250
0.375 0.552 0.750
0.875 0.698 0.750
0.000 0.000 0.000
0.750 0.250 0.500
```

Record 7
A plane-wave DFT calculation with PBE was carried out for a geometry-optimized BaBe2Bi2 structure.

D(E_F) in states/eV per cell: 0.34
DFT formation energy in eV/atom: -0.078
Magnetization in μB per formula unit: 0.000
SG: I4/mmm

```
BaBe2Bi2
1.0
-1.385 -2.937 2.773
0.322 -3.003 -3.020
6.346 -4.285 1.918
Be Bi Ba
2 2 1
direct
0.750 0.250 0.500
0.250 0.750 0.500
0.356 0.356 0.287
0.644 0.644 0.713
0.000 0.000 0.000
```

Record 8
A plane-wave DFT calculation with PBE was carried out for a geometry-optimized BaBe2Bi structure.

D(E_F) in states/eV per cell: 1.68
DFT formation energy in eV/atom: 0.248
Magnetization in μB per formula unit: 0.000
SG: I4_1/amd

```
BaBe2Bi
1.0
-0.307 4.107 -2.767
0.659 -2.714 -4.102
-8.814 -0.441 -4.125
Be Bi Ba
4 2 2
direct
0.875 0.125 0.250
0.875 0.625 0.250
0.375 0.125 0.750
0.875 0.125 0.750
0.000 0.000 0.000
0.750 0.250 0.500
0.500 0.500 0.000
0.250 0.750 0.500
```